This record from the Alexandria database describes a relaxed PrY3H crystal. The functional is GGA-PBE.

Unit cell a=5.0643 b=5.0643 c=5.0643 alpha=90.00 beta=90.00 gamma=90.00
Atoms (fractional coordinates):
Pr  0.5000  0.5000  0.5000
Y  0.0000  0.5000  0.0000
Y  0.0000  0.0000  0.5000
Y  0.5000  0.0000  0.0000
H  0.0000  0.0000  0.0000

Calculated values
Mass density ... 5.2 Mg/m³
D(E_F) ... 1.000 states/eV per atom
Space group ... Pm-3m
Total DFT energy (no corrections) ... -5.666 eV/atom



This record from the Alexandria database describes a relaxed InNiAsSe2 crystal. The functional is GGA-PBE.

Unit cell a=5.1554 b=5.1554 c=5.0160 alpha=90.00 beta=90.00 gamma=90.00
Atoms (fractional coordinates):
Ni  0.5000  0.5000  0.5000
As  0.0000  0.0000  0.5000
Se  0.0000  0.5000  0.0000
Se  0.5000  0.0000  0.0000
In  0.0000  0.0000  0.0000

Calculated values
Mass density ... 5.1 Mg/m³
D(E_F) ... 1.862 states/eV per atom
Space group ... P4/mmm
Total DFT energy (no corrections) ... -2.886 eV/atom
ΔE to the lowest computed polymorph ... 0.975 eV per atom



This record from the Alexandria database describes a relaxed La3AuC crystal. The functional is GGA-PBE.

Unit cell a=10.6692 b=7.1208 c=3.8704 alpha=74.23 beta=89.99 gamma=105.54
Atoms (fractional coordinates):
C  0.6817  0.6121  0.4785
C  0.3774  0.6272  0.9704
Au  0.1499  0.0348  0.7669
Au  0.9092  0.2045  0.6821
La  0.3324  0.8620  0.3528
La  0.1354  0.4355  0.0661
La  0.9237  0.8037  0.3830
La  0.6292  0.8356  0.8666
La  0.7267  0.3773  0.0959
La  0.4299  0.4038  0.5823

Calculated values
Mass density ... 7.6 Mg/m³
D(E_F) ... 1.061 states/eV per atom
Space group ... C2/m
ΔE_f ... -0.37 eV/atom
Total DFT energy (no corrections) ... -5.829 eV/atom
ΔE to the lowest computed polymorph ... 0.008 eV per atom